{
  "formula": "SrInSb2I",
  "functional": "PBE",
  "state": "relaxed",
  "magnetic_moment_mub_per_fu": 0.0,
  "volume_a3_per_atom": 39.01,
  "formation_energy_uncorrected_ev_per_atom": -0.123,
  "dft_energy_ev_per_cell": -14.8,
  "spacegroup": "P4/mmm",
  "crystal_system": "tetragonal",
  "density_g_cm3": 4.877,
  "polymorph_energy_mev_per_atom": 0,
  "cell": [[-3.187, -1.199, -4.406], [0.863, -5.434, 0.855], [-5.066, -0.219, 3.724]],
  "species": ["I", "Sb", "Sb", "Sr", "In"],
  "frac_coords": [[0.000, 0.000, 0.500], [0.000, 0.500, 0.000], [0.500, 0.000, 0.000], [0.500, 0.500, 0.500], [0.000, 0.000, 0.000]]
}